Record 1
Crystalline YErGa4 at its relaxed geometry. Source: OQMD, functional PBE-GGA.

Structure (CIF):
```
data_YErGa4
_chemical_formula_sum 'Y4 Er4 Ga16'
_cell_length_a 4.093
_cell_length_b 18.692
_cell_length_c 6.447
_cell_angle_alpha 90.00
_cell_angle_beta 90.00
_cell_angle_gamma 90.00
_symmetry_space_group_name_H-M 'C m c m'
_symmetry_Int_Tables_number 63
_symmetry_space_group_name_Hall '-C 2c 2'
loop_
_atom_site_label
_atom_site_fract_x
_atom_site_fract_y
_atom_site_fract_z
Y1 0.000 0.089 0.250
Er1 0.000 0.235 0.750
Ga1 0.000 0.071 0.750
Ga2 0.000 0.354 0.043
Ga3 0.000 0.500 0.000
```

Computed properties:
Energy above the lowest structure with this stoichiometry, meV per atom: 57

---

Record 2
Crystalline ErZnGa at its relaxed geometry. Source: OQMD, functional PBE-GGA.

Structure (CIF):
```
data_ErZnGa
_chemical_formula_sum 'Er4 Zn4 Ga4'
_cell_length_a 6.340
_cell_length_b 6.340
_cell_length_c 6.340
_cell_angle_alpha 90.00
_cell_angle_beta 90.00
_cell_angle_gamma 90.00
_symmetry_space_group_name_H-M 'F -4 3 m'
_symmetry_Int_Tables_number 216
_symmetry_space_group_name_Hall 'F -4 2 3'
loop_
_atom_site_label
_atom_site_fract_x
_atom_site_fract_y
_atom_site_fract_z
Er1 0.000 0.000 0.000
Zn1 0.250 0.250 0.250
Ga1 0.000 0.000 0.500
```

Computed properties:
VASP energy, eV/atom: -3.35

---

Record 3
Crystalline ErZnGa at its relaxed geometry. Source: OQMD, functional PBE-GGA.

Structure (CIF):
```
data_ErZnGa
_chemical_formula_sum 'Er4 Zn4 Ga4'
_cell_length_a 6.633
_cell_length_b 6.633
_cell_length_c 6.633
_cell_angle_alpha 90.00
_cell_angle_beta 90.00
_cell_angle_gamma 90.00
_symmetry_space_group_name_H-M 'F -4 3 m'
_symmetry_Int_Tables_number 216
_symmetry_space_group_name_Hall 'F -4 2 3'
loop_
_atom_site_label
_atom_site_fract_x
_atom_site_fract_y
_atom_site_fract_z
Er1 0.000 0.000 0.000
Zn1 0.250 0.250 0.250
Ga1 0.250 0.250 0.750
```

Computed properties:
VASP energy, eV/atom: -2.89

---

Record 4
Crystalline Er2ZrGa2 at its relaxed geometry. Source: OQMD, functional PBE-GGA.

Structure (CIF):
```
data_Er2ZrGa2
_chemical_formula_sum 'Er4 Zr2 Ga4'
_cell_length_a 7.374
_cell_length_b 7.374
_cell_length_c 4.244
_cell_angle_alpha 90.00
_cell_angle_beta 90.00
_cell_angle_gamma 90.00
_symmetry_space_group_name_H-M 'P 4/m b m'
_symmetry_Int_Tables_number 127
_symmetry_space_group_name_Hall '-P 4 2ab'
loop_
_atom_site_label
_atom_site_fract_x
_atom_site_fract_y
_atom_site_fract_z
Er1 0.176 0.324 0.000
Zr1 0.000 0.000 0.500
Ga1 0.125 0.625 0.500
```

Computed properties:
VASP energy, eV/atom: -5.21

---

Record 5
Crystalline ErZrGa at its relaxed geometry. Source: OQMD, functional PBE-GGA.

Structure (CIF):
```
data_ErZrGa
_chemical_formula_sum 'Er4 Zr4 Ga4'
_cell_length_a 6.696
_cell_length_b 6.696
_cell_length_c 6.696
_cell_angle_alpha 90.00
_cell_angle_beta 90.00
_cell_angle_gamma 90.00
_symmetry_space_group_name_H-M 'F -4 3 m'
_symmetry_Int_Tables_number 216
_symmetry_space_group_name_Hall 'F -4 2 3'
loop_
_atom_site_label
_atom_site_fract_x
_atom_site_fract_y
_atom_site_fract_z
Er1 0.000 0.000 0.000
Zr1 0.000 0.000 0.500
Ga1 0.250 0.250 0.250
```

Computed properties:
Energy above the lowest structure with this stoichiometry, meV per atom: 0

---

Record 6
Crystalline GdErNb2Ge2 at its relaxed geometry. Source: OQMD, functional PBE-GGA.

Structure (CIF):
```
data_GdErNb2Ge2
_chemical_formula_sum 'Gd1 Er1 Nb2 Ge2'
_cell_length_a 4.029
_cell_length_b 4.029
_cell_length_c 7.872
_cell_angle_alpha 90.00
_cell_angle_beta 90.00
_cell_angle_gamma 90.00
_symmetry_space_group_name_H-M 'P 4 m m'
_symmetry_Int_Tables_number 99
loop_
_symmetry_equiv_pos_as_xyz
'x,y,z'
'-y,x,z'
'-x,-y,z'
'y,-x,z'
'-x,y,z'
'y,x,z'
'x,-y,z'
'-y,-x,z'
loop_
_atom_site_label
_atom_site_fract_x
_atom_site_fract_y
_atom_site_fract_z
Gd1 0.000 0.000 0.000
Er1 0.500 0.500 0.295
Nb1 0.000 0.500 0.644
Ge1 0.000 0.000 0.399
Ge2 0.500 0.500 0.890
```

Computed properties:
VASP energy, eV/atom: -7.08

---

Ordered total magnetic moment results: 0.02; 0.00; 0.00; 0.05; 0.02; 1.15; unit μB per cell.